[1]
DFT (SCAN) results for a crystal of LaTl2Ni relaxed with PBEsol.

CIF file:
```
data_LaTl2Ni
_space_group_name_H-M_alt 'P 1'
_space_group_IT_number 1
_cell_length_a 3.850
_cell_length_b 4.895
_cell_length_c 6.243
_cell_angle_alpha 67.64
_cell_angle_beta 72.04
_cell_angle_gamma 66.84
loop_
_space_group_symop_operation_xyz
'x,y,z'
loop_
_atom_site_label
_atom_site_type_symbol
_atom_site_fract_x
_atom_site_fract_y
_atom_site_fract_z
_atom_site_occupancy
Ni1 Ni 0.245 0.386 0.123 1
Tl1 Tl 0.953 0.984 0.109 1
Tl2 Tl 0.745 0.702 0.807 1
La1 La 0.556 0.428 0.460 1
```

Results
* electronic total energy: -204.9 eV/f.u.
* theoretical density: 10.24 Mg/m³
* DFT formation energy: -0.9 eV per formula unit

=====

[2]
DFT (SCAN) results for a crystal of Cu2TcMo relaxed with PBEsol.

CIF file:
```
data_Cu2TcMo
_space_group_name_H-M_alt 'P 1'
_space_group_IT_number 1
_cell_length_a 2.620
_cell_length_b 2.620
_cell_length_c 9.022
_cell_angle_alpha 81.65
_cell_angle_beta 81.65
_cell_angle_gamma 60.00
loop_
_space_group_symop_operation_xyz
'x,y,z'
loop_
_atom_site_label
_atom_site_type_symbol
_atom_site_fract_x
_atom_site_fract_y
_atom_site_fract_z
_atom_site_occupancy
Cu1 Cu 0.749 0.749 0.754 1
Cu2 Cu 0.251 0.251 0.246 1
Tc1 Tc 0.000 0.000 0.000 1
Mo1 Mo 0.500 0.500 0.500 1
```

Results
* electronic total energy: -99.1 eV/f.u.
* theoretical density: 10.08 Mg/m³
* energy above the most stable polymorph in this dataset: 106 meV per atom
* DFT formation energy: 1.3 eV per formula unit

=====

[3]
DFT (SCAN) results for a crystal of Zr2OsBr relaxed with PBEsol.

CIF file:
```
data_Zr2OsBr
_space_group_name_H-M_alt 'P 1'
_space_group_IT_number 1
_cell_length_a 3.158
_cell_length_b 3.218
_cell_length_c 7.960
_cell_angle_alpha 90.01
_cell_angle_beta 90.00
_cell_angle_gamma 90.00
loop_
_space_group_symop_operation_xyz
'x,y,z'
loop_
_atom_site_label
_atom_site_type_symbol
_atom_site_fract_x
_atom_site_fract_y
_atom_site_fract_z
_atom_site_occupancy
Zr1 Zr 0.000 0.000 0.794 1
Zr2 Zr 0.000 0.000 0.206 1
Br1 Br 0.500 0.000 0.500 1
Os1 Os 0.500 0.500 0.000 1
```

Results
* electronic total energy: -155.4 eV/f.u.
* theoretical density: 9.29 Mg/m³
* energy above the most stable polymorph in this dataset: 0 meV per atom
* formation energy from raw total energies: -0.66 eV/atom

=====

[4]
DFT (SCAN) results for a crystal of CuReSi2 relaxed with PBEsol.

CIF file:
```
data_CuReSi2
_space_group_name_H-M_alt 'P 1'
_space_group_IT_number 1
_cell_length_a 2.760
_cell_length_b 2.760
_cell_length_c 7.740
_cell_angle_alpha 90.00
_cell_angle_beta 90.00
_cell_angle_gamma 112.81
loop_
_space_group_symop_operation_xyz
'x,y,z'
loop_
_atom_site_label
_atom_site_type_symbol
_atom_site_fract_x
_atom_site_fract_y
_atom_site_fract_z
_atom_site_occupancy
Si1 Si 0.000 0.000 0.750 1
Si2 Si 0.000 0.000 0.250 1
Cu1 Cu 0.500 0.500 0.500 1
Re1 Re 0.500 0.500 0.000 1
```

Results
* electronic total energy: -105.0 eV/f.u.
* theoretical density: 9.35 Mg/m³
* energy above the most stable polymorph in this dataset: 262 meV per atom
* formation energy from raw total energies: 0.33 eV/atom

=====

[5]
DFT (SCAN) results for a crystal of ZnCuNi2 relaxed with PBEsol.

CIF file:
```
data_ZnCuNi2
_space_group_name_H-M_alt 'P 1'
_space_group_IT_number 1
_cell_length_a 2.528
_cell_length_b 2.528
_cell_length_c 8.178
_cell_angle_alpha 81.22
_cell_angle_beta 81.22
_cell_angle_gamma 59.95
loop_
_space_group_symop_operation_xyz
'x,y,z'
loop_
_atom_site_label
_atom_site_type_symbol
_atom_site_fract_x
_atom_site_fract_y
_atom_site_fract_z
_atom_site_occupancy
Zn1 Zn 0.000 0.000 0.000 1
Ni1 Ni 0.750 0.750 0.749 1
Ni2 Ni 0.250 0.250 0.251 1
Cu1 Cu 0.500 0.500 0.500 1
```

Results
* electronic total energy: -61.1 eV/f.u.
* theoretical density: 9.18 Mg/m³
* DFT formation energy: -0.1 eV per formula unit

=====

[6]
DFT (SCAN) results for a crystal of Y7TmO12 relaxed with PBEsol.

CIF file:
```
data_Y7TmO12
_space_group_name_H-M_alt 'P 1'
_space_group_IT_number 1
_cell_length_a 9.108
_cell_length_b 9.108
_cell_length_c 9.108
_cell_angle_alpha 70.52
_cell_angle_beta 70.52
_cell_angle_gamma 109.45
loop_
_space_group_symop_operation_xyz
'x,y,z'
loop_
_atom_site_label
_atom_site_type_symbol
_atom_site_fract_x
_atom_site_fract_y
_atom_site_fract_z
_atom_site_occupancy
O1 O 0.771 0.514 0.458 1
O2 O 0.761 0.272 0.770 1
O3 O 0.729 0.771 0.757 1
O4 O 0.739 0.469 0.989 1
O5 O 0.272 0.230 0.238 1
O6 O 0.771 0.240 0.272 1
O7 O 0.042 0.031 0.730 1
O8 O 0.491 0.460 0.771 1
O9 O 0.989 0.260 0.469 1
O10 O 0.009 0.739 0.531 1
O11 O 0.545 0.772 0.489 1
O12 O 0.032 0.270 0.958 1
O13 O 0.270 0.040 0.969 1
O14 O 0.955 0.966 0.274 1
O15 O 0.228 0.490 0.542 1
O16 O 0.729 0.957 0.031 1
O17 O 0.239 0.728 0.226 1
O18 O 0.511 0.543 0.228 1
O19 O 0.230 0.761 0.729 1
O20 O 0.528 0.986 0.743 1
O21 O 0.972 0.729 0.042 1
O22 O 0.261 0.534 0.011 1
O23 O 0.468 0.010 0.262 1
O24 O 0.458 0.228 0.511 1
Y1 Y 0.532 0.250 0.718 1
Y2 Y 0.750 0.217 0.033 1
Y3 Y 0.250 0.283 0.467 1
Y4 Y 0.968 0.750 0.782 1
Y5 Y 0.216 0.966 0.250 1
Y6 Y 0.467 0.750 0.283 1
Y7 Y 0.718 0.468 0.250 1
Y8 Y 0.284 0.534 0.750 1
Y9 Y 0.501 0.000 0.501 1
Y10 Y 0.999 0.998 0.001 1
Y11 Y 0.033 0.250 0.217 1
Y12 Y 0.782 0.032 0.750 1
Y13 Y 0.500 0.502 0.999 1
Y14 Y 0.000 0.500 0.499 1
Tm1 Tm 0.750 0.717 0.533 1
Tm2 Tm 0.250 0.783 0.967 1
```

Results
* electronic total energy: -400.5 eV/f.u.
* theoretical density: 5.61 Mg/m³
* formation energy from raw total energies: -3.95 eV/atom

=====

[7]
DFT (SCAN) results for a crystal of MgMnCo2 relaxed with PBEsol.

CIF file:
```
data_MgMnCo2
_space_group_name_H-M_alt 'P 1'
_space_group_IT_number 1
_cell_length_a 2.817
_cell_length_b 2.817
_cell_length_c 6.040
_cell_angle_alpha 90.00
_cell_angle_beta 90.00
_cell_angle_gamma 90.00
loop_
_space_group_symop_operation_xyz
'x,y,z'
loop_
_atom_site_label
_atom_site_type_symbol
_atom_site_fract_x
_atom_site_fract_y
_atom_site_fract_z
_atom_site_occupancy
Co1 Co 0.000 0.000 0.287 1
Co2 Co 0.000 0.000 0.713 1
Mg1 Mg 0.500 0.500 0.000 1
Mn1 Mn 0.500 0.500 0.500 1
```

Results
* electronic total energy: -57.7 eV/f.u.
* theoretical density: 6.83 Mg/m³
* DFT formation energy: 0.2 eV per formula unit

=====

[8]
DFT (SCAN) results for a crystal of NaGa2B relaxed with PBEsol.

CIF file:
```
data_NaGa2B
_space_group_name_H-M_alt 'P 1'
_space_group_IT_number 1
_cell_length_a 6.452
_cell_length_b 6.504
_cell_length_c 6.452
_cell_angle_alpha 60.27
_cell_angle_beta 90.00
_cell_angle_gamma 119.73
loop_
_space_group_symop_operation_xyz
'x,y,z'
loop_
_atom_site_label
_atom_site_type_symbol
_atom_site_fract_x
_atom_site_fract_y
_atom_site_fract_z
_atom_site_occupancy
Na1 Na 0.750 0.500 0.750 1
Na2 Na 0.000 0.000 0.000 1
Ga1 Ga 0.375 0.250 0.383 1
Ga2 Ga 0.875 0.250 0.367 1
Ga3 Ga 0.383 0.750 0.875 1
Ga4 Ga 0.367 0.750 0.375 1
B1 B 0.500 0.000 0.500 1
B2 B 0.250 0.500 0.250 1
```

Results
* electronic total energy: -42.5 eV/f.u.
* theoretical density: 2.98 Mg/m³
* DFT formation energy: 1.9 eV per formula unit